Compound: Er2Zn5Ag5
Source: Alexandria via LeMat-Bulk
Functional: GGA-PBE
Structure: relaxed

Unit cell a=4.538 b=5.246 c=9.400 alpha=90.00 beta=90.00 gamma=90.00
Fractional positions:
1 Er 0.000 0.000 0.000
2 Er 0.000 0.500 0.500
3 Zn 0.500 0.000 0.500
4 Zn 0.500 0.251 0.255
5 Zn 0.500 0.251 0.745
6 Zn 0.500 0.749 0.255
7 Zn 0.500 0.749 0.745
8 Ag 0.000 0.000 0.334
9 Ag 0.000 0.000 0.666
10 Ag 0.000 0.500 0.176
11 Ag 0.000 0.500 0.824
12 Ag 0.500 0.500 0.000

Energy of formation from the pure elements (meV/atom): -212
SG: Pmmm, No. 47



Compound: ErGaSb2
Source: Alexandria via LeMat-Bulk
Functional: GGA-PBE
Structure: relaxed

Unit cell a=7.809 b=7.809 c=7.809 alpha=30.51 beta=30.51 gamma=30.51
Fractional positions:
1 Er 0.000 0.000 0.000
2 Ga 0.500 0.500 0.500
3 Sb 0.244 0.244 0.244
4 Sb 0.756 0.756 0.756

E_form (uncorrected) (eV/atom): -0.323
SG: R-3m, No. 166



Compound: YGe
Source: Alexandria via LeMat-Bulk
Functional: GGA-PBE
Structure: relaxed

Unit cell a=4.619 b=4.619 c=4.619 alpha=60.00 beta=60.00 gamma=60.00
Fractional positions:
1 Y 0.000 0.000 0.000
2 Ge 0.250 0.250 0.250

Energy of formation from the pure elements (meV/atom): 111
SG: F-43m, No. 216



Spin magnetization (computed, μB/atom): 0.00; 0.00; 0.00
N(E_F) (computed, states/eV/cell): 5.47; 2.96; 4.18